# BaCaTlIn, relaxed, DFT PBE-GGA
data_BaCaTlIn
_cell_length_a 5.7972
_cell_length_b 5.7972
_cell_length_c 5.7972
_cell_angle_alpha 60.00
_cell_angle_beta 60.00
_cell_angle_gamma 60.00
_symmetry_space_group_name_H-M 'P 1'
_symmetry_Int_Tables_number 1
loop_
_symmetry_equiv_pos_as_xyz
'x,y,z'
loop_
_atom_site_label
_atom_site_type_symbol
_atom_site_fract_x
_atom_site_fract_y
_atom_site_fract_z
Ca1 Ca 0.7500 0.7500 0.7500
In1 In 0.5000 0.5000 0.5000
Tl1 Tl 0.0000 0.0000 0.0000
Ba1 Ba 0.2500 0.2500 0.2500
# Energy relative to the elements (meV/atom): -409.2

***

# NbVFe2, relaxed, DFT PBE-GGA
data_NbVFe2
_cell_length_a 2.8348
_cell_length_b 2.8348
_cell_length_c 6.4650
_cell_angle_alpha 90.00
_cell_angle_beta 90.00
_cell_angle_gamma 90.00
_symmetry_space_group_name_H-M 'P 1'
_symmetry_Int_Tables_number 1
loop_
_symmetry_equiv_pos_as_xyz
'x,y,z'
loop_
_atom_site_label
_atom_site_type_symbol
_atom_site_fract_x
_atom_site_fract_y
_atom_site_fract_z
Nb1 Nb 0.5000 0.5000 0.5000
V1 V 0.5000 0.5000 0.0000
Fe1 Fe 0.0000 0.0000 0.7885
Fe2 Fe 0.0000 0.0000 0.2115
# Energy relative to the elements (meV/atom): -99.9
# Relative energy among the computed polymorphs (eV/atom): 0.000

***

# Zr3Br, relaxed, DFT PBE-GGA
data_Zr3Br
_cell_length_a 5.5975
_cell_length_b 5.5975
_cell_length_c 5.5975
_cell_angle_alpha 90.00
_cell_angle_beta 90.00
_cell_angle_gamma 90.00
_symmetry_space_group_name_H-M 'P 1'
_symmetry_Int_Tables_number 1
loop_
_symmetry_equiv_pos_as_xyz
'x,y,z'
loop_
_atom_site_label
_atom_site_type_symbol
_atom_site_fract_x
_atom_site_fract_y
_atom_site_fract_z
Zr1 Zr 0.5000 0.0000 0.2500
Zr2 Zr 0.0000 0.7500 0.5000
Zr3 Zr 0.7500 0.5000 0.0000
Zr4 Zr 0.2500 0.5000 0.0000
Zr5 Zr 0.0000 0.2500 0.5000
Zr6 Zr 0.5000 0.0000 0.7500
Br1 Br 0.5000 0.5000 0.5000
Br2 Br 0.0000 0.0000 0.0000
# ΔE_f (raw) (eV per atom): 0.132
# Relative energy among the computed polymorphs (eV/atom): 0.384

***

# K4RbI5, relaxed, DFT PBE-GGA
data_K4RbI5
_cell_length_a 5.1112
_cell_length_b 5.1112
_cell_length_c 18.4161
_cell_angle_alpha 97.98
_cell_angle_beta 97.98
_cell_angle_gamma 90.00
_symmetry_space_group_name_H-M 'P 1'
_symmetry_Int_Tables_number 1
loop_
_symmetry_equiv_pos_as_xyz
'x,y,z'
loop_
_atom_site_label
_atom_site_type_symbol
_atom_site_fract_x
_atom_site_fract_y
_atom_site_fract_z
I1 I 0.8976 0.8976 0.7952
I2 I 0.1024 0.1024 0.2048
I3 I 0.7005 0.7005 0.4010
I4 I 0.5000 0.5000 0.0000
I5 I 0.2995 0.2995 0.5990
K1 K 0.6011 0.6011 0.2023
K2 K 0.7993 0.7993 0.5986
K3 K 0.3989 0.3989 0.7977
K4 K 0.2007 0.2007 0.4014
Rb1 Rb 0.0000 0.0000 0.0000
# ΔE_f (raw) (eV per atom): -1.485

***

It is found that the total DFT energy (no corrections) values, taken in the order of the records, are -2.667 -9.128 -6.697 -2.795 eV per atom.